The following is a DFT calculation (PBE-GGA) of an optimized crystal structure of Rb2LaZrC.

Geometry as POSCAR:
```
Rb2LaZrC
1.0
6.7476 0.0000 0.0000
0.0000 6.7476 0.0000
0.0000 0.0000 4.4214
La C Rb Zr
1 1 2 1
Direct
0.0000 0.0000 0.5000 La
0.0000 0.0000 0.0000 C
0.0000 0.5000 0.0000 Rb
0.5000 0.0000 0.0000 Rb
0.5000 0.5000 0.5000 Zr
```

Output
- D(E_F) (states/eV per atom) = 1.4789
- symmetry = P4/mmm, No. 123
- calculated formation energy (kJ/mol of atoms) = 123
- total DFT energy (no corrections) (eV/atom) = -3.651